## NdSeS (GGA-PBE)

Data for a geometry-optimized NdSeS structure.

DFT total energy ... -5.811 eV/atom

CIF file:
```
data_NdSeS
_cell_length_a 4.210
_cell_length_b 5.561
_cell_length_c 7.642
_cell_angle_alpha 111.34
_cell_angle_beta 105.99
_cell_angle_gamma 90.00
_symmetry_space_group_name_H-M 'P 1'
_symmetry_Int_Tables_number 1
_symmetry_space_group_name_Hall 'P 1'
loop_
_atom_site_label
_atom_site_fract_x
_atom_site_fract_y
_atom_site_fract_z
Nd1 0.155 0.655 0.309
Nd2 0.845 0.345 0.691
S1 0.213 0.213 0.425
S2 0.787 0.787 0.575
Se1 0.500 0.717 0.000
Se2 0.500 0.283 0.000
```



## Nd4SeS3 (GGA-PBE)

Data for a geometry-optimized Nd4SeS3 structure.

DFT total energy ... -6.345 eV/atom

CIF file:
```
data_Nd4SeS3
_cell_length_a 4.078
_cell_length_b 7.147
_cell_length_c 7.147
_cell_angle_alpha 109.10
_cell_angle_beta 90.00
_cell_angle_gamma 90.00
_symmetry_space_group_name_H-M 'P 1'
_symmetry_Int_Tables_number 1
_symmetry_space_group_name_Hall 'P 1'
loop_
_atom_site_label
_atom_site_fract_x
_atom_site_fract_y
_atom_site_fract_z
Nd1 0.000 0.266 0.266
Nd2 0.000 0.734 0.734
Nd3 0.500 0.258 0.742
Nd4 0.500 0.742 0.258
S1 0.000 0.000 0.500
S2 0.000 0.500 0.000
S3 0.500 0.500 0.500
Se1 0.500 0.000 0.000
```



## NdSeS (GGA-PBE)

Data for a geometry-optimized NdSeS structure.

DFT total energy ... -5.794 eV/atom

CIF file:
```
data_NdSeS
_cell_length_a 4.056
_cell_length_b 4.056
_cell_length_c 8.942
_cell_angle_alpha 103.11
_cell_angle_beta 103.11
_cell_angle_gamma 90.00
_symmetry_space_group_name_H-M 'P 1'
_symmetry_Int_Tables_number 1
_symmetry_space_group_name_Hall 'P 1'
loop_
_atom_site_label
_atom_site_fract_x
_atom_site_fract_y
_atom_site_fract_z
S1 0.184 0.184 0.369
S2 0.816 0.816 0.631
Se1 0.000 0.500 0.000
Se2 0.500 0.000 0.000
Nd1 0.645 0.645 0.291
Nd2 0.355 0.355 0.709
```



Number 1: formation energy (no corrections) -487 kJ/mol of formula units, spin magnetization 0.00 μB/cell. Number 2: formation energy (no corrections) -1527 kJ/mol of formula units, spin magnetization 0.00 μB/cell. Number 3: formation energy (no corrections) -483 kJ/mol of formula units, spin magnetization 0.00 μB/cell.